1.
K2SbIr | GGA-PBE | optimized geometry

It has space group R-3m (No. 166, hexagonal axes), with a = 3.2289 Å, b = 3.2289 Å, c = 34.0801 Å, α = 90.00°, β = 90.00° and γ = 120.00°. The inequivalent atoms are K at (0.0000, 0.0000, 0.2432), Sb at (0.0000, 0.0000, 0.0000) and Ir at (0.0000, 0.0000, 0.5000).

The formation energy without anion corrections comes out at 630 meV/atom. For the density of states at the Fermi level, the calculation gives 1.21 states/eV per atom.

2.
K3SbIr | GGA-PBE | optimized geometry

It has space group Pm-3m (No. 221), with a = 6.0786 Å, b = 6.0786 Å, c = 6.0786 Å, α = 90.00°, β = 90.00° and γ = 90.00°. The inequivalent atoms are K at (0.0000, 0.0000, 0.5000), Sb at (0.5000, 0.5000, 0.5000) and Ir at (0.0000, 0.0000, 0.0000).

The formation energy without anion corrections comes out at 742 meV/atom. For the density of states at the Fermi level, the calculation gives 0.59 states/eV per atom.

3.
K2SbIr | GGA-PBE | optimized geometry

It has space group I-42d (No. 122), with a = 12.5973 Å, b = 12.5973 Å, c = 4.9578 Å, α = 90.00°, β = 90.00° and γ = 90.00°. The inequivalent atoms are K at (0.0309, 0.2500, 0.1250), Sb at (0.0000, 0.0000, 0.5000) and Ir at (0.0000, 0.0000, 0.0000).

The formation energy without anion corrections comes out at 74 meV/atom. For the density of states at the Fermi level, the calculation gives 0.65 states/eV per atom.

4.
KSb2Ir | GGA-PBE | optimized geometry

It has space group Immm (No. 71), with a = 3.1795 Å, b = 6.1550 Å, c = 11.0275 Å, α = 90.00°, β = 90.00° and γ = 90.00°. The inequivalent atoms are K at (0.0000, 0.0000, 0.0000), Sb at (0.0000, 0.5000, 0.1925) and Ir at (0.0000, 0.0000, 0.5000).

The formation energy without anion corrections comes out at -56 meV/atom. The value obtained for the energy relative to the lowest polymorph listed for this composition is 237.9 meV per atom. For the density of states at the Fermi level, the calculation gives 0.35 states/eV per atom.

5.
KSbIr | GGA-PBE | optimized geometry

It has space group F-43m (No. 216), with a = 6.7269 Å, b = 6.7269 Å, c = 6.7269 Å, α = 90.00°, β = 90.00° and γ = 90.00°. The inequivalent atoms are K at (0.0000, 0.0000, 0.0000), Sb at (0.0000, 0.0000, 0.5000) and Ir at (0.2500, 0.2500, 0.7500).

The formation energy without anion corrections comes out at 460 meV/atom. The value obtained for the energy relative to the lowest polymorph listed for this composition is 717.3 meV per atom. For the density of states at the Fermi level, the calculation gives 0.65 states/eV per atom.

6.
KSbIr | GGA-PBE | optimized geometry

It has space group P4/nmm (No. 129, origin choice 2), with a = 4.2443 Å, b = 4.2443 Å, c = 10.6155 Å, α = 90.00°, β = 90.00° and γ = 90.00°. The inequivalent atoms are K at (0.2500, 0.2500, 0.1835), Sb at (0.2500, 0.2500, 0.6462) and Ir at (0.2500, 0.7500, 0.5000).

The formation energy without anion corrections comes out at -257 meV/atom. The value obtained for the energy relative to the lowest polymorph listed for this composition is 0.0 meV per atom. For the density of states at the Fermi level, the calculation gives 0.51 states/eV per atom.

7.
KSb2Ir | GGA-PBE | optimized geometry

It has space group I-4m2 (No. 119), with a = 4.4197 Å, b = 4.4197 Å, c = 9.5506 Å, α = 90.00°, β = 90.00° and γ = 90.00°. The inequivalent atoms are K at (0.0000, 0.0000, 0.0000), Sb at (0.0000, 0.0000, 0.5000), Sb at (0.0000, 0.5000, 0.7500) and Ir at (0.0000, 0.5000, 0.2500).

The formation energy without anion corrections comes out at 501 meV/atom. The value obtained for the energy relative to the lowest polymorph listed for this composition is 794.9 meV per atom. For the density of states at the Fermi level, the calculation gives 0.96 states/eV per atom.

8.
KSb2Ir | GGA-PBE | optimized geometry

It has space group F-43m (No. 216), with a = 7.2083 Å, b = 7.2083 Å, c = 7.2083 Å, α = 90.00°, β = 90.00° and γ = 90.00°. The inequivalent atoms are K at (0.0000, 0.0000, 0.0000), Sb at (0.0000, 0.0000, 0.5000), Sb at (0.2500, 0.2500, 0.2500) and Ir at (0.2500, 0.2500, 0.7500).

The formation energy without anion corrections comes out at 597 meV/atom. The value obtained for the energy relative to the lowest polymorph listed for this composition is 890.7 meV per atom. For the density of states at the Fermi level, the calculation gives 0.37 states/eV per atom.

9.
K2SbIr | GGA-PBE | optimized geometry

It has space group Imm2 (No. 44), with a = 4.3077 Å, b = 5.8647 Å, c = 10.6207 Å, α = 90.00°, β = 90.00° and γ = 90.00°. The inequivalent atoms are K at (0.0000, 0.0000, 0.0000), K at (0.0000, 0.5000, 0.1951), Sb at (0.0000, 0.5000, 0.7877) and Ir at (0.0000, 0.0000, 0.4072).

The formation energy without anion corrections comes out at 28 meV/atom. For the density of states at the Fermi level, the calculation gives 0.48 states/eV per atom.

10.
KSbIr | GGA-PBE | optimized geometry

It has space group F-43m (No. 216), with a = 6.8993 Å, b = 6.8993 Å, c = 6.8993 Å, α = 90.00°, β = 90.00° and γ = 90.00°. The inequivalent atoms are K at (0.0000, 0.0000, 0.0000), Sb at (0.2500, 0.2500, 0.7500) and Ir at (0.2500, 0.2500, 0.2500).

The formation energy without anion corrections comes out at 1517 meV/atom. The value obtained for the energy relative to the lowest polymorph listed for this composition is 1774.6 meV per atom. For the density of states at the Fermi level, the calculation gives 0.60 states/eV per atom.

11.
KSb2Ir | GGA-PBE | optimized geometry

It has space group I-42d (No. 122), with a = 8.3167 Å, b = 8.3167 Å, c = 6.8873 Å, α = 90.00°, β = 90.00° and γ = 90.00°. The inequivalent atoms are K at (0.0000, 0.0000, 0.0000), Sb at (0.1552, 0.2500, 0.6250) and Ir at (0.0000, 0.0000, 0.5000).

The formation energy without anion corrections comes out at -39 meV/atom. The value obtained for the energy relative to the lowest polymorph listed for this composition is 254.9 meV per atom. For the density of states at the Fermi level, the calculation gives 0.67 states/eV per atom.

12.
K4SbIr | GGA-PBE | optimized geometry

It has space group F-43m (No. 216), with a = 9.0848 Å, b = 9.0848 Å, c = 9.0848 Å, α = 90.00°, β = 90.00° and γ = 90.00°. The inequivalent atoms are K at (0.1255, 0.1255, 0.1255), Sb at (0.2500, 0.2500, 0.7500) and Ir at (0.0000, 0.0000, 0.5000).

The formation energy without anion corrections comes out at 781 meV/atom. For the density of states at the Fermi level, the calculation gives 1.25 states/eV per atom.

13.
KSb2Ir | GGA-PBE | optimized geometry

It has space group Amm2 (No. 38), with a = 4.5247 Å, b = 4.4831 Å, c = 14.0200 Å, α = 90.00°, β = 90.00° and γ = 90.00°. The inequivalent atoms are K at (0.0000, 0.0000, 0.0000), Sb at (0.0000, 0.0000, 0.2960), Sb at (0.5000, 0.0000, 0.6276) and Ir at (0.5000, 0.0000, 0.2145).

The formation energy without anion corrections comes out at -36 meV/atom. The value obtained for the energy relative to the lowest polymorph listed for this composition is 258.1 meV per atom. For the density of states at the Fermi level, the calculation gives 0.57 states/eV per atom.

14.
KSbIr | GGA-PBE | optimized geometry

It has space group I4mm (No. 107), with a = 3.4955 Å, b = 3.4955 Å, c = 12.6969 Å, α = 90.00°, β = 90.00° and γ = 90.00°. The inequivalent atoms are K at (0.0000, 0.0000, 0.0000), Sb at (0.0000, 0.0000, 0.2830) and Ir at (0.0000, 0.0000, 0.7004).

The formation energy without anion corrections comes out at -11 meV/atom. The value obtained for the energy relative to the lowest polymorph listed for this composition is 246.0 meV per atom. For the density of states at the Fermi level, the calculation gives 0.81 states/eV per atom.

15.
K2SbIr | GGA-PBE | optimized geometry

It has space group P4mm (No. 99), with a = 3.6059 Å, b = 3.6059 Å, c = 10.2168 Å, α = 90.00°, β = 90.00° and γ = 90.00°. The inequivalent atoms are K at (0.0000, 0.0000, 0.0000), K at (0.5000, 0.5000, 0.4169), Sb at (0.0000, 0.0000, 0.6665) and Ir at (0.5000, 0.5000, 0.7581).

The formation energy without anion corrections comes out at 30 meV/atom. For the density of states at the Fermi level, the calculation gives 0.50 states/eV per atom.

16.
KSb2Ir | GGA-PBE | optimized geometry

It has space group P2/m (No. 10), with a = 5.4357 Å, b = 3.2087 Å, c = 5.8644 Å, α = 90.00°, β = 113.81° and γ = 90.00°. The inequivalent atoms are K at (0.0000, 0.0000, 0.0000), Sb at (0.5000, 0.0000, 0.5000), Sb at (0.5000, 0.5000, 0.0000) and Ir at (0.0000, 0.5000, 0.5000).

The formation energy without anion corrections comes out at 526 meV/atom. The value obtained for the energy relative to the lowest polymorph listed for this composition is 819.9 meV per atom. For the density of states at the Fermi level, the calculation gives 0.74 states/eV per atom.

17.
K2SbIr | GGA-PBE | optimized geometry

It has space group P4/mmm (No. 123), with a = 3.0807 Å, b = 3.0807 Å, c = 10.8916 Å, α = 90.00°, β = 90.00° and γ = 90.00°. The inequivalent atoms are K at (0.0000, 0.0000, 0.2276), Sb at (0.5000, 0.5000, 0.5000) and Ir at (0.5000, 0.5000, 0.0000).

The formation energy without anion corrections comes out at 472 meV/atom. For the density of states at the Fermi level, the calculation gives 0.83 states/eV per atom.

18.
K2SbIr | GGA-PBE | optimized geometry

It has space group P4/mmm (No. 123), with a = 4.2105 Å, b = 4.2105 Å, c = 5.5103 Å, α = 90.00°, β = 90.00° and γ = 90.00°. The inequivalent atoms are K at (0.0000, 0.5000, 0.0000), Sb at (0.0000, 0.0000, 0.5000) and Ir at (0.5000, 0.5000, 0.5000).

The formation energy without anion corrections comes out at 358 meV/atom. For the density of states at the Fermi level, the calculation gives 0.72 states/eV per atom.

19.
K2SbIr | GGA-PBE | optimized geometry

It has space group Cmmm (No. 65), with a = 5.5785 Å, b = 10.8833 Å, c = 3.3788 Å, α = 90.00°, β = 90.00° and γ = 90.00°. The inequivalent atoms are K at (0.2500, 0.2500, 0.0000), Sb at (0.0000, 0.0000, 0.5000) and Ir at (0.0000, 0.5000, 0.5000).

The formation energy without anion corrections comes out at 411 meV/atom. For the density of states at the Fermi level, the calculation gives 0.93 states/eV per atom.

20.
KSb12Ir4 | GGA-PBE | optimized geometry

It has space group Im-3 (No. 204), with a = 9.4649 Å, b = 9.4649 Å, c = 9.4649 Å, α = 90.00°, β = 90.00° and γ = 90.00°. The inequivalent atoms are K at (0.0000, 0.0000, 0.0000), Sb at (0.0000, 0.3420, 0.1559) and Ir at (0.2500, 0.2500, 0.2500).

The formation energy without anion corrections comes out at -357 meV/atom. For the density of states at the Fermi level, the calculation gives 0.33 states/eV per atom.